# 1
## Mg3CrAg (PBE)

Data for a relaxed structure of Mg3CrAg.

Output
**Energy above the lowest structure with this stoichiometry**: 0.0000 eV per atom
**N(E_F)**: 0.465 states/eV per atom
**Size of the total moment**: 4.65 μB per formula unit

Lattice parameters (Å, degrees): 5.058 5.058 5.058 90.00 90.00 90.00
Element x y z (fractional)
Mg1 0.000 0.000 0.500
Mg2 0.000 0.500 0.000
Mg3 0.500 0.000 0.000
Cr1 0.500 0.500 0.500
Ag1 0.000 0.000 0.000

=====

# 2
## MgCrAg2 (PBE)

Data for a relaxed structure of MgCrAg2.

Output
**N(E_F)**: 0.499 states/eV per atom
**Size of the total moment**: 3.97 μB per formula unit

Lattice parameters (Å, degrees): 9.446 9.446 9.446 18.27 18.27 18.27
Element x y z (fractional)
Mg1 0.000 0.000 0.000
Cr1 0.500 0.500 0.500
Ag1 0.249 0.249 0.249
Ag2 0.751 0.751 0.751

=====

# 3
## MgCrAg (PBE)

Data for a relaxed structure of MgCrAg.

Output
**Energy above the lowest structure with this stoichiometry**: 0.2192 eV per atom
**N(E_F)**: 0.407 states/eV per atom
**Size of the total moment**: 4.36 μB per formula unit

Lattice parameters (Å, degrees): 4.526 4.526 4.526 60.00 60.00 60.00
Element x y z (fractional)
Mg1 0.000 0.000 0.000
Cr1 0.500 0.500 0.500
Ag1 0.250 0.250 0.250

=====

# 4
## MgCr4Ag (PBE)

Data for a relaxed structure of MgCr4Ag.

Output
**N(E_F)**: 1.371 states/eV per atom
**Size of the total moment**: 0.00 μB per formula unit

Lattice parameters (Å, degrees): 4.901 4.901 4.901 60.00 60.00 60.00
Element x y z (fractional)
Mg1 0.000 0.000 0.000
Cr1 0.374 0.374 0.374
Cr2 0.374 0.374 0.879
Cr3 0.374 0.879 0.374
Cr4 0.879 0.374 0.374
Ag1 0.750 0.750 0.750

=====

# 5
## Mg2CrAg (PBE)

Data for a relaxed structure of Mg2CrAg.

Output
**N(E_F)**: 0.518 states/eV per atom
**Size of the total moment**: 3.92 μB per formula unit

Lattice parameters (Å, degrees): 3.369 3.369 6.527 90.00 90.00 90.00
Element x y z (fractional)
Mg1 0.000 0.000 0.247
Mg2 0.000 0.000 0.753
Cr1 0.500 0.500 0.500
Ag1 0.500 0.500 0.000

=====

# 6
## Mg2CrAg (PBE)

Data for a relaxed structure of Mg2CrAg.

Output
**N(E_F)**: 0.555 states/eV per atom
**Size of the total moment**: 3.90 μB per formula unit

Lattice parameters (Å, degrees): 4.354 4.354 3.912 90.00 90.00 90.00
Element x y z (fractional)
Mg1 0.000 0.500 0.000
Mg2 0.500 0.000 0.000
Cr1 0.000 0.000 0.500
Ag1 0.500 0.500 0.500

=====

# 7
## MgCrAg2 (PBE)

Data for a relaxed structure of MgCrAg2.

Output
**N(E_F)**: 0.657 states/eV per atom
**Size of the total moment**: 4.14 μB per formula unit

Lattice parameters (Å, degrees): 4.662 4.662 4.662 60.00 60.00 60.00
Element x y z (fractional)
Mg1 0.000 0.000 0.000
Cr1 0.750 0.750 0.750
Ag1 0.250 0.250 0.250
Ag2 0.500 0.500 0.500

=====

# 8
## MgCrAg2 (PBE)

Data for a relaxed structure of MgCrAg2.

Output
**N(E_F)**: 0.738 states/eV per atom
**Size of the total moment**: 0.86 μB per formula unit

Lattice parameters (Å, degrees): 2.795 2.795 8.486 90.00 90.00 90.12
Element x y z (fractional)
Mg1 0.000 0.000 0.000
Cr1 0.500 0.500 0.762
Ag1 0.000 0.000 0.525
Ag2 0.500 0.500 0.260

=====

# 9
## MgCrAg (PBE)

Data for a relaxed structure of MgCrAg.

Output
**Energy above the lowest structure with this stoichiometry**: 0.0000 eV per atom
**N(E_F)**: 0.544 states/eV per atom
**Size of the total moment**: 3.97 μB per formula unit

Lattice parameters (Å, degrees): 5.294 5.294 5.294 142.74 142.74 53.72
Element x y z (fractional)
Mg1 0.000 0.000 0.000
Cr1 0.675 0.675 0.000
Ag1 0.334 0.334 0.000

=====

# 10
## MgCrAg (PBE)

Data for a relaxed structure of MgCrAg.

Output
**Energy above the lowest structure with this stoichiometry**: 0.0335 eV per atom
**N(E_F)**: 0.509 states/eV per atom
**Size of the total moment**: 4.34 μB per formula unit

Lattice parameters (Å, degrees): 4.646 4.646 2.945 90.00 90.00 120.00
Element x y z (fractional)
Mg1 0.000 0.000 0.000
Cr1 0.333 0.667 0.619
Ag1 0.667 0.333 0.284

=====

# 11
## MgCrAg2 (PBE)

Data for a relaxed structure of MgCrAg2.

Output
**N(E_F)**: 0.449 states/eV per atom
**Size of the total moment**: 4.39 μB per formula unit

Lattice parameters (Å, degrees): 10.197 10.197 10.197 157.14 157.14 32.55
Element x y z (fractional)
Mg1 0.000 0.000 0.000
Mg2 0.750 0.250 0.500
Cr1 0.250 0.750 0.500
Cr2 0.500 0.500 0.000
Ag1 0.125 0.625 0.000
Ag2 0.375 0.375 0.500
Ag3 0.625 0.125 0.000
Ag4 0.875 0.875 0.500

=====

# 12
## MgCrAg2 (PBE)

Data for a relaxed structure of MgCrAg2.

Output
**N(E_F)**: 0.380 states/eV per atom
**Size of the total moment**: 4.25 μB per formula unit

Lattice parameters (Å, degrees): 5.017 5.017 5.095 101.38 101.38 35.17
Element x y z (fractional)
Mg1 0.000 0.000 0.000
Cr1 0.500 0.500 0.500
Ag1 0.248 0.248 0.747
Ag2 0.752 0.752 0.253

=====

# 13
## Mg2CrAg (PBE)

Data for a relaxed structure of Mg2CrAg.

Output
**N(E_F)**: 0.477 states/eV per atom
**Size of the total moment**: 3.99 μB per formula unit

Lattice parameters (Å, degrees): 9.824 9.824 9.824 17.88 17.88 17.88
Element x y z (fractional)
Mg1 0.000 0.000 0.000
Mg2 0.239 0.239 0.239
Cr1 0.748 0.748 0.748
Ag1 0.493 0.493 0.493

=====

# 14
## MgCrAg2 (PBE)

Data for a relaxed structure of MgCrAg2.

Output
**N(E_F)**: 0.322 states/eV per atom
**Size of the total moment**: 4.19 μB per formula unit

Lattice parameters (Å, degrees): 4.439 4.439 3.628 90.00 90.00 90.00
Element x y z (fractional)
Mg1 0.000 0.000 0.000
Cr1 0.500 0.500 0.000
Ag1 0.000 0.500 0.500
Ag2 0.500 0.000 0.500

=====

# 15
## Mg2CrAg (PBE)

Data for a relaxed structure of Mg2CrAg.

Output
**N(E_F)**: 0.724 states/eV per atom
**Size of the total moment**: 3.85 μB per formula unit

Lattice parameters (Å, degrees): 9.605 9.605 9.605 18.21 18.21 18.21
Element x y z (fractional)
Mg1 0.250 0.250 0.250
Mg2 0.750 0.750 0.750
Cr1 0.500 0.500 0.500
Ag1 0.000 0.000 0.000

=====

Number 1: energy relative to the elements 2.78 eV per formula unit. Number 2: energy relative to the elements 1.10 eV per formula unit. Number 3: energy relative to the elements 1.53 eV per formula unit. Number 4: energy relative to the elements 2.85 eV per formula unit. Number 5: energy relative to the elements 0.66 eV per formula unit. Number 6: energy relative to the elements 0.68 eV per formula unit. Number 7: energy relative to the elements 0.85 eV per formula unit. Number 8: energy relative to the elements 1.45 eV per formula unit. Number 9: energy relative to the elements 0.87 eV per formula unit. Number 10: energy relative to the elements 0.97 eV per formula unit. Number 11: energy relative to the elements 1.97 eV per formula unit. Number 12: energy relative to the elements 0.93 eV per formula unit. Number 13: energy relative to the elements 1.25 eV per formula unit. Number 14: energy relative to the elements 0.57 eV per formula unit. Number 15: energy relative to the elements 1.07 eV per formula unit.